# SrSc2Ru, optimized geometry, DFT GGA-PBE
# E_form   8.18 kcal/mol of atoms
# Energy above the lowest structure with this stoichiometry   557 meV per atom
data_SrSc2Ru
_chemical_formula_sum 'Sr1 Sc2 Ru1'
_space_group_name_H-M_alt 'P 4/m m m'
_space_group_IT_number 123
_space_group_name_Hall '-P 4 2'
_cell_length_a 4.483
_cell_length_b 4.483
_cell_length_c 4.580
_cell_angle_alpha 90.00
_cell_angle_beta 90.00
_cell_angle_gamma 90.00
loop_
_atom_site_label
_atom_site_type_symbol
_atom_site_fract_x
_atom_site_fract_y
_atom_site_fract_z
_atom_site_occupancy
Sr1 Sr 0.000 0.000 0.000 1
Sc1 Sc 0.000 0.500 0.500 1
Ru1 Ru 0.500 0.500 0.000 1